[1]
# DyEr3Sc7, optimized geometry, DFT PBE-GGA
data_DyEr3Sc7
_symmetry_space_group_name_H-M 'C 1 2/m 1'
_symmetry_Int_Tables_number 12
_cell_length_a 11.988
_cell_length_b 10.424
_cell_length_c 5.421
_cell_angle_alpha 90.00
_cell_angle_beta 116.78
_cell_angle_gamma 90.00
loop_
_symmetry_equiv_pos_as_xyz
'x,y,z'
'-x,-y,-z'
'-x,y,-z'
'x,-y,z'
'x+1/2,y+1/2,z'
'-x+1/2,-y+1/2,-z'
'-x+1/2,y+1/2,-z'
'x+1/2,-y+1/2,z'
loop_
_atom_site_label
_atom_site_type_symbol
_atom_site_fract_x
_atom_site_fract_y
_atom_site_fract_z
_atom_site_occupancy
Dy1 Dy 0.000 0.000 0.000 1
Er1 Er 0.000 0.290 0.500 1
Er2 Er 0.000 0.500 0.000 1
Sc1 Sc 0.000 0.000 0.500 1
Sc2 Sc 0.207 0.500 0.707 1
Sc3 Sc 0.214 0.307 0.214 1
# Magnetic moment in μB/cell: 0.66
# Energy in eV/atom: -5.394

[2]
# Dy12ErSc6, optimized geometry, DFT PBE-GGA
data_Dy12ErSc6
_symmetry_space_group_name_H-M 'I m -3'
_symmetry_Int_Tables_number 204
_symmetry_space_group_name_Hall '-I 2 2 3'
_cell_length_a 10.424
_cell_length_b 10.424
_cell_length_c 10.424
_cell_angle_alpha 90.00
_cell_angle_beta 90.00
_cell_angle_gamma 90.00
loop_
_atom_site_label
_atom_site_type_symbol
_atom_site_fract_x
_atom_site_fract_y
_atom_site_fract_z
_atom_site_occupancy
Dy1 Dy 0.000 0.196 0.267 1
Er1 Er 0.000 0.000 0.000 1
Sc1 Sc 0.000 0.362 0.500 1
# Relative energy among the computed polymorphs in eV/f.u.: 0.00
# Magnetic moment in μB/cell: 0.00
# Energy in eV/atom: -4.908

[3]
# Dy7Er2Sc3, optimized geometry, DFT PBE-GGA
data_Dy7Er2Sc3
_symmetry_space_group_name_H-M 'C m m m'
_symmetry_Int_Tables_number 65
_symmetry_space_group_name_Hall '-C 2 2'
_cell_length_a 5.659
_cell_length_b 36.503
_cell_length_c 3.510
_cell_angle_alpha 90.00
_cell_angle_beta 90.00
_cell_angle_gamma 90.00
loop_
_atom_site_label
_atom_site_type_symbol
_atom_site_fract_x
_atom_site_fract_y
_atom_site_fract_z
_atom_site_occupancy
Dy1 Dy 0.000 0.000 0.000 1
Dy2 Dy 0.000 0.091 0.500 1
Dy3 Dy 0.000 0.272 0.000 1
Dy4 Dy 0.000 0.429 0.000 1
Er1 Er 0.000 0.176 0.000 1
Sc1 Sc 0.000 0.350 0.500 1
Sc2 Sc 0.000 0.500 0.500 1
# Magnetic moment in μB/cell: 2.48
# Energy in eV/atom: -4.875

[4]
# Dy5Er12Sc, optimized geometry, DFT PBE-GGA
data_Dy5Er12Sc
_symmetry_space_group_name_H-M 'C 1 2/m 1'
_symmetry_Int_Tables_number 12
_cell_length_a 6.129
_cell_length_b 10.611
_cell_length_c 17.004
_cell_angle_alpha 90.00
_cell_angle_beta 96.92
_cell_angle_gamma 90.00
loop_
_symmetry_equiv_pos_as_xyz
'x,y,z'
'-x,-y,-z'
'-x,y,-z'
'x,-y,z'
'x+1/2,y+1/2,z'
'-x+1/2,-y+1/2,-z'
'-x+1/2,y+1/2,-z'
'x+1/2,-y+1/2,z'
loop_
_atom_site_label
_atom_site_type_symbol
_atom_site_fract_x
_atom_site_fract_y
_atom_site_fract_z
_atom_site_occupancy
Dy1 Dy 0.000 0.000 0.000 1
Dy2 Dy 0.000 0.167 0.500 1
Dy3 Dy 0.000 0.333 0.000 1
Er1 Er 0.110 0.167 0.831 1
Er2 Er 0.110 0.335 0.335 1
Er3 Er 0.111 0.500 0.832 1
Er4 Er 0.115 0.000 0.335 1
Sc1 Sc 0.000 0.500 0.500 1
# Magnetic moment in μB/cell: 0.00
# Energy in eV/atom: -4.668